[1]
A relaxed structure of TaZnN2F. Source: Alexandria, functional PBE.

Unit cell a=3.910 b=3.910 c=3.615 alpha=90.00 beta=90.00 gamma=90.00
Fractional coordinates of all 5 atoms:
1 Ta 0.000 0.000 0.000
2 Zn 0.500 0.500 0.500
3 N 0.000 0.500 0.500
4 N 0.500 0.000 0.500
5 F 0.500 0.500 0.000

Computed properties:
Distance to the lowest polymorph of the same formula: 1072 meV/atom


[2]
A relaxed structure of AcErH6Rh2. Source: Alexandria, functional PBE.

Unit cell a=6.472 b=6.472 c=6.472 alpha=43.42 beta=43.42 gamma=43.42
Fractional coordinates of all 10 atoms:
1 Ac 0.000 0.000 0.000
2 Er 0.500 0.500 0.500
3 H 0.064 0.566 0.566
4 H 0.434 0.434 0.936
5 H 0.434 0.936 0.434
6 H 0.566 0.064 0.566
7 H 0.566 0.566 0.064
8 H 0.936 0.434 0.434
9 Rh 0.213 0.213 0.213
10 Rh 0.787 0.787 0.787

Computed properties:
Total energy: -49.1 eV per cell